Record 1
A relaxed LaDyGa crystal, computed with GGA-PBE.

Cell: 4.706 4.706 7.886 Å, 90.00 90.00 90.00°
Each line ends with the local moment (μB).
Atoms (fractional coordinates):
Dy (0.500, 0.500, 0.500)  0.17
La (0.500, 0.000, 0.141)  0.16
Ga (0.000, 0.500, 0.252)  -0.01
Dy (0.000, 0.000, 0.500)  0.17
Ga (0.500, 0.000, 0.748)  -0.01
La (0.000, 0.500, 0.859)  0.16

energy of formation from the pure elements = -1.2 eV/f.u.
crystal system = tetragonal
space-group type = P4/nmm
E above lowest polymorph = 0.00 eV per formula unit


Record 2
A relaxed Cs2CaSbO4 crystal, computed with GGA-PBE.

Cell: 6.054 7.477 12.050 Å, 84.16 75.45 66.12°
Atoms (fractional coordinates):
O (0.521, 0.325, 0.576)
Ca (0.000, 0.000, 0.000)
Cs (0.184, 0.000, 0.632)
O (0.229, 0.175, 0.924)
O (0.329, 0.825, 0.076)
Sb (0.250, 0.500, 0.500)
Cs (0.816, 0.000, 0.368)
Cs (0.934, 0.500, 0.132)
O (0.904, 0.675, 0.576)
O (0.421, 0.675, 0.424)
Ca (0.750, 0.500, 0.500)
O (0.154, 0.325, 0.424)
Sb (0.500, 0.000, 0.000)
O (0.596, 0.175, 0.076)
Cs (0.566, 0.500, 0.868)
O (0.846, 0.825, 0.924)

energy relative to the elements, uncorrected = -1566 meV/atom
crystal system = orthorhombic
space-group type = Fddd


Record 3
A relaxed KFe2Se crystal, computed with GGA-PBE.

Cell: 3.411 3.411 7.580 Å, 90.00 90.00 90.00°
Each line ends with the local moment (μB).
Atoms (fractional coordinates):
K (0.500, 0.500, 0.250)  0.00
Se (0.500, 0.500, 0.750)  0.10
Fe (0.000, 0.000, 0.602)  2.82
Fe (0.000, 0.000, 0.898)  2.82

energy relative to the elements, uncorrected = 604 meV/atom
crystal system = tetragonal
space-group type = P4/mmm


Record 4
A relaxed Nd2SmY4Tm2 crystal, computed with GGA-PBE.

Cell: 6.798 10.043 6.638 Å, 121.29 126.91 59.04°
Atoms (fractional coordinates):
Tm (0.819, 0.448, 0.035)
Y (0.258, 0.117, 0.797)
Y (0.742, 0.883, 0.203)
Nd (0.732, 0.346, 0.399)
Y (0.615, 0.759, 0.506)
Nd (0.268, 0.654, 0.601)
Sm (0.000, 0.000, 0.000)
Y (0.385, 0.241, 0.494)
Tm (0.181, 0.552, 0.965)

energy of formation from the pure elements = 0.7 eV/f.u.
crystal system = triclinic
space-group type = P-1


Record 5
A relaxed TiAl2Os crystal, computed with GGA-PBE.

Cell: 3.735 3.735 9.773 Å, 78.98 78.98 90.00°
Atoms (fractional coordinates):
Al (0.628, 0.125, 0.250)
Ti (0.500, 0.500, 0.000)
Ti (0.250, 0.750, 0.500)
Al (0.122, 0.625, 0.250)
Os (0.750, 0.250, 0.500)
Al (0.875, 0.878, 0.750)
Os (0.000, 0.000, 0.000)
Al (0.375, 0.372, 0.750)

energy of formation from the pure elements = 0.2 eV/f.u.
crystal system = tetragonal
space-group type = I-42d


Record 6
A relaxed LiLu2Ti crystal, computed with GGA-PBE.

Cell: 3.439 5.229 5.229 Å, 90.00 90.00 90.00°
Each line ends with the local moment (μB).
Atoms (fractional coordinates):
Li (0.500, 0.500, 0.500)  0.00
Ti (0.500, 0.000, 0.000)  -1.09
Lu (0.000, 0.500, 0.000)  -0.20
Lu (0.000, 0.000, 0.500)  -0.20

energy of formation from the pure elements = 0.9 eV/f.u.
crystal system = tetragonal
space-group type = P4/mmm
E above lowest polymorph = 0.33 eV per formula unit


Record 7
A relaxed Sm4Hg2S crystal, computed with GGA-PBE.

Cell: 4.070 6.792 7.900 Å, 74.17 75.07 72.56°
Atoms (fractional coordinates):
S (0.000, 0.000, 0.000)
Sm (0.665, 0.746, 0.925)
Sm (0.335, 0.254, 0.075)
Hg (0.373, 0.576, 0.678)
Sm (0.911, 0.810, 0.368)
Sm (0.089, 0.190, 0.632)
Hg (0.627, 0.424, 0.322)

energy relative to the elements, uncorrected = -838 meV/atom
crystal system = monoclinic
space-group type = C2/m
E above lowest polymorph = 0.00 eV per formula unit


Record 8
A relaxed TlCuTe2 crystal, computed with GGA-PBE.

Cell: 6.864 8.924 4.062 Å, 96.51 107.41 90.62°
Atoms (fractional coordinates):
Cu (0.629, 0.468, 0.754)
Te (0.990, 0.631, 0.898)
Tl (0.165, 0.342, 0.443)
Te (0.849, 0.997, 0.984)
Te (0.637, 0.267, 0.168)
Tl (0.321, 0.923, 0.714)
Te (0.494, 0.634, 0.254)
Cu (0.855, 0.796, 0.396)

energy relative to the elements, uncorrected = -99 meV/atom
crystal system = triclinic
space-group type = P1


Record 9
A relaxed Pr2NdBe crystal, computed with GGA-PBE.

Cell: 3.629 3.629 8.858 Å, 90.00 90.00 90.00°
Atoms (fractional coordinates):
Pr (0.000, 0.000, 0.808)
Be (0.500, 0.500, 0.000)
Pr (0.000, 0.000, 0.192)
Nd (0.500, 0.500, 0.500)

energy of formation from the pure elements = 0.5 eV/f.u.
crystal system = tetragonal
space-group type = P4/mmm


Record 10
A relaxed MgSc2P crystal, computed with GGA-PBE.

Cell: 10.409 10.409 10.409 Å, 17.82 17.82 17.82°
Atoms (fractional coordinates):
Mg (0.500, 0.500, 0.500)
Sc (0.917, 0.917, 0.917)
P (0.000, 0.000, 0.000)
Sc (0.083, 0.083, 0.083)

energy of formation from the pure elements = 0.6 eV/f.u.
crystal system = trigonal
space-group type = R-3m
E above lowest polymorph = 3.46 eV per formula unit


Record 11
A relaxed Tm4Tl5Hg2 crystal, computed with GGA-PBE.

Cell: 3.570 8.343 9.820 Å, 91.14 90.00 90.00°
Atoms (fractional coordinates):
Hg (0.000, 0.911, 0.370)
Tl (0.000, 0.539, 0.338)
Tl (0.000, 0.135, 0.126)
Tm (0.500, 0.769, 0.602)
Tm (0.500, 0.219, 0.863)
Tl (0.000, 0.461, 0.662)
Tl (0.000, 0.865, 0.874)
Tl (0.000, 0.500, 0.000)
Hg (0.000, 0.089, 0.630)
Tm (0.500, 0.781, 0.137)
Tm (0.500, 0.231, 0.398)

energy of formation from the pure elements = -2.9 eV/f.u.
crystal system = monoclinic
space-group type = P2/m


Record 12
A relaxed Rb3NaCo2Cl9 crystal, computed with GGA-PBE.

Cell: 7.154 7.154 8.896 Å, 90.00 90.00 120.00°
Each line ends with the local moment (μB).
Atoms (fractional coordinates):
Rb (0.667, 0.333, 0.324)  0.00
Cl (0.000, 0.500, 0.000)  0.10
Cl (0.500, 0.000, 0.000)  0.10
Co (0.667, 0.333, 0.829)  2.60
Rb (0.333, 0.667, 0.676)  0.00
Cl (0.824, 0.649, 0.687)  0.12
Cl (0.824, 0.176, 0.687)  0.12
Co (0.333, 0.667, 0.171)  2.60
Na (0.000, 0.000, 0.500)  0.01
Cl (0.649, 0.824, 0.313)  0.12
Cl (0.176, 0.351, 0.313)  0.12
Cl (0.351, 0.176, 0.687)  0.12
Cl (0.176, 0.824, 0.313)  0.12
Rb (0.000, 0.000, 0.000)  0.00
Cl (0.500, 0.500, 0.000)  0.10

energy relative to the elements, uncorrected = -1244 meV/atom
crystal system = trigonal
space-group type = P-3m1


| no. | uncorrected energy (eV for the cell shown) |
| --- | --- |
| 1 | -27.44 |
| 2 | -80.39 |
| 3 | -19.09 |
| 4 | -48.35 |
| 5 | -52.91 |
| 6 | -17.97 |
| 7 | -29.47 |
| 8 | -26.28 |
| 9 | -17.54 |
| 10 | -19.04 |
| 11 | -33.19 |
| 12 | -53.71 |